No. 1
Here is an optimized crystal structure of PrPaSi2 from the Alexandria database. Energies are from PBE.

Values from the calculation:
Distance to the lowest polymorph of the same formula, meV per atom: 0
D(E_F), states/eV per atom: 0.60
Theoretical density, Mg/m³: 6.81
Formation energy without anion corrections, eV per atom: -0.444
Energy, eV/cell: -26.896

Unit cell a=4.1945 b=4.1945 c=7.2707 alpha=73.23 beta=73.23 gamma=60.00
Closest atoms and distances in Å follow each position.
Element x y z (fractional)
Pr  0.5000  0.5000  0.5000  6 Si 3.06
Si  0.2576  0.2576  0.2271  3 Pa 2.88, 3 Pr 3.06
Si  0.7424  0.7424  0.7729  3 Pa 2.88, 3 Pr 3.06
Pa  0.0000  0.0000  0.0000  6 Si 2.88

=====

No. 2
Here is an optimized crystal structure of Ta3IrRu from the Alexandria database. Energies are from PBE.

Values from the calculation:
Distance to the lowest polymorph of the same formula, meV per atom: 112
D(E_F), states/eV per atom: 1.22
Theoretical density, Mg/m³: 12.72
Energy, eV/cell: -47.070
ΔH_f (0 K), meV/atom: 1325

Unit cell a=4.7789 b=4.7789 c=4.7789 alpha=90.00 beta=90.00 gamma=90.00
Closest atoms and distances in Å follow each position.
Element x y z (fractional)
Ru  0.5000  0.5000  0.5000  12 Ta 3.38
Ir  0.0000  0.0000  0.0000  6 Ta 2.39
Ta  0.0000  0.5000  0.0000  2 Ir 2.39
Ta  0.0000  0.0000  0.5000  2 Ir 2.39
Ta  0.5000  0.0000  0.0000  2 Ir 2.39

=====

No. 3
Here is an optimized crystal structure of AlTl2F6 from the Alexandria database. Energies are from PBE.

Values from the calculation:
D(E_F), states/eV per atom: 0.64
Theoretical density, Mg/m³: 6.81
Formation energy without anion corrections, eV per atom: -2.484
Energy, eV/cell: -42.063

Unit cell a=5.7439 b=5.7439 c=5.7439 alpha=60.00 beta=60.00 gamma=60.00
Closest atoms and distances in Å follow each position.
Element x y z (fractional)
Al  0.0000  0.0000  0.0000  6 F 1.83
Tl  0.2500  0.2500  0.2500  12 F 2.88
Tl  0.7500  0.7500  0.7500  12 F 2.88
F  0.2249  0.7751  0.7751  1 Al 1.83
F  0.2249  0.7751  0.2249  1 Al 1.83
F  0.7751  0.2249  0.7751  1 Al 1.83
F  0.7751  0.2249  0.2249  1 Al 1.83
F  0.7751  0.7751  0.2249  1 Al 1.83
F  0.2249  0.2249  0.7751  1 Al 1.83

=====

No. 4
Here is an optimized crystal structure of BaInRu2 from the Alexandria database. Energies are from PBE.

Values from the calculation:
D(E_F), states/eV per atom: 1.04
Theoretical density, Mg/m³: 8.47
Energy, eV/cell: -19.718
ΔH_f (0 K), meV/atom: 874

Unit cell a=5.0130 b=5.0130 c=5.0130 alpha=60.00 beta=60.00 gamma=60.00
Closest atoms and distances in Å follow each position.
Element x y z (fractional)
Ba  0.5000  0.5000  0.5000  4 Ru 3.07, 4 In 3.07
In  0.7500  0.7500  0.7500  4 Ba 3.07, 4 Ru 3.07
Ru  0.0000  0.0000  0.0000  4 In 3.07, 4 Ru 3.07
Ru  0.2500  0.2500  0.2500  4 Ru 3.07, 4 Ba 3.07

=====

No. 5
Here is an optimized crystal structure of Nb3ZnPb from the Alexandria database. Energies are from PBE.

Values from the calculation:
Distance to the lowest polymorph of the same formula, meV per atom: 0
D(E_F), states/eV per atom: 1.51
Theoretical density, Mg/m³: 8.47
Energy, eV/cell: -30.333
ΔH_f (0 K), meV/atom: 972

Unit cell a=4.7629 b=4.7629 c=4.7629 alpha=90.00 beta=90.00 gamma=90.00
Closest atoms and distances in Å follow each position.
Element x y z (fractional)
Pb  0.5000  0.5000  0.5000  12 Nb 3.37
Nb  0.0000  0.5000  0.0000  2 Zn 2.38
Nb  0.0000  0.0000  0.5000  2 Zn 2.38
Nb  0.5000  0.0000  0.0000  2 Zn 2.38
Zn  0.0000  0.0000  0.0000  6 Nb 2.38

=====

No. 6
Here is an optimized crystal structure of SrHfN2 from the Alexandria database. Energies are from PBE.

Values from the calculation:
D(E_F), states/eV per atom: 0.67
Theoretical density, Mg/m³: 5.80
Formation energy without anion corrections, eV per atom: -0.027
Energy, eV/cell: -28.394

Unit cell a=6.9841 b=6.9841 c=6.9841 alpha=31.84 beta=31.84 gamma=31.84
Closest atoms and distances in Å follow each position.
Element x y z (fractional)
Sr  0.5000  0.5000  0.5000  6 N 2.60
Hf  0.0000  0.0000  0.0000  2 N 1.95
N  0.9021  0.9021  0.9021  1 Hf 1.95
N  0.0979  0.0979  0.0979  1 Hf 1.95

=====

Q: The lowest theoretical density belongs to which entry?
A: SrHfN2

=====

Q: D(E_F) of number 5 (Nb3ZnPb)?
A: 1.51 states/eV per atom